1.
NiP2SO | meta-GGA SCAN | single point on PBEsol structure

a = 4.469 Å, b = 4.469 Å, c = 3.454 Å
α = 90.00°, β = 90.00°, γ = 90.00°
Positions (direct):
Ni (0.000, 0.000, 0.000)
P (0.000, 0.500, 0.000)
P (0.500, 0.000, 0.000)
S (0.500, 0.500, 0.500)
O (0.000, 0.000, 0.500)

Calculated values
E_form (uncorrected): 384 meV/atom

---

2.
NiSbP2O9 | meta-GGA SCAN | single point on PBEsol structure

a = 13.618 Å, b = 6.302 Å, c = 7.735 Å
α = 90.00°, β = 90.00°, γ = 90.00°
Positions (direct):
Ni (0.000, 0.000, 0.000)
Ni (0.000, 0.500, 0.000)
Ni (0.500, 0.000, 0.500)
Ni (0.500, 0.500, 0.500)
Sb (0.123, 0.250, 0.336)
Sb (0.377, 0.750, 0.836)
Sb (0.623, 0.250, 0.164)
Sb (0.877, 0.750, 0.664)
P (0.056, 0.750, 0.344)
P (0.188, 0.750, 0.928)
P (0.312, 0.250, 0.428)
P (0.444, 0.250, 0.844)
P (0.556, 0.750, 0.156)
P (0.688, 0.750, 0.572)
P (0.812, 0.250, 0.072)
P (0.944, 0.250, 0.656)
O (0.005, 0.250, 0.824)
O (0.007, 0.250, 0.494)
O (0.031, 0.250, 0.141)
O (0.128, 0.561, 0.347)
O (0.128, 0.939, 0.347)
O (0.131, 0.544, 0.960)
O (0.131, 0.956, 0.960)
O (0.214, 0.250, 0.540)
O (0.239, 0.750, 0.742)
O (0.261, 0.250, 0.242)
O (0.286, 0.750, 0.040)
O (0.369, 0.044, 0.460)
O (0.369, 0.456, 0.460)
O (0.372, 0.061, 0.847)
O (0.372, 0.439, 0.847)
O (0.469, 0.750, 0.641)
O (0.493, 0.750, 0.994)
O (0.495, 0.750, 0.324)
O (0.505, 0.250, 0.676)
O (0.507, 0.250, 0.006)
O (0.531, 0.250, 0.359)
O (0.628, 0.561, 0.153)
O (0.628, 0.939, 0.153)
O (0.631, 0.544, 0.540)
O (0.631, 0.956, 0.540)
O (0.714, 0.250, 0.960)
O (0.739, 0.750, 0.758)
O (0.761, 0.250, 0.258)
O (0.786, 0.750, 0.460)
O (0.869, 0.044, 0.040)
O (0.869, 0.456, 0.040)
O (0.872, 0.061, 0.653)
O (0.872, 0.439, 0.653)
O (0.969, 0.750, 0.859)
O (0.993, 0.750, 0.506)
O (0.995, 0.750, 0.176)

Calculated values
E_form (uncorrected): -1873 meV/atom

---

Sequential spin magnetization output: 0.01, 0.99 μB per formula unit